Arrangement a

TbThIrPt | PBE-GGA | relaxed

Unit cell a=5.021 b=5.021 c=5.021 alpha=60.00 beta=60.00 gamma=60.00
Fractional coordinates of all 4 atoms:
Tb  0.000  0.000  0.000
Th  0.500  0.500  0.500
Ir  0.750  0.750  0.750
Pt  0.250  0.250  0.250

Summary:
symmetry = F-43m, No. 216
calculated density = 14.44 g cm⁻³
spin magnetization = 0.00 μB/f.u.

Arrangement b

TbThIrPt | PBE-GGA | relaxed

Unit cell a=4.312 b=5.873 c=5.873 alpha=38.37 beta=90.00 gamma=90.00
Fractional coordinates of all 4 atoms:
Tb  0.000  0.000  0.000
Th  0.500  0.724  0.724
Ir  0.000  0.264  0.264
Pt  0.500  0.451  0.451

Summary:
symmetry = Amm2, No. 38
calculated density = 14.00 g cm⁻³
spin magnetization = 0.00 μB/f.u.

Relative energies, unit meV per atom: arrangement a 191; arrangement b 0

Arrangement a

TcIrPt2 | PBE-GGA | relaxed

Unit cell a=2.764 b=3.899 c=5.575 alpha=90.00 beta=90.02 gamma=90.00
Fractional coordinates of all 4 atoms:
Tc  0.000  0.000  0.000
Ir  0.502  0.500  0.225
Pt  0.002  0.000  0.487
Pt  0.500  0.500  0.746

Summary:
symmetry = Pm, No. 6
calculated density = 18.80 g cm⁻³
spin magnetization = 0.00 μB/f.u.

Arrangement b

TcIrPt2 | PBE-GGA | relaxed

Unit cell a=2.752 b=2.752 c=7.924 alpha=90.00 beta=90.00 gamma=90.00
Fractional coordinates of all 4 atoms:
Tc  0.000  0.000  0.000
Ir  0.000  0.000  0.500
Pt  0.500  0.500  0.244
Pt  0.500  0.500  0.756

Summary:
symmetry = P4/mmm, No. 123
calculated density = 18.83 g cm⁻³
spin magnetization = 0.00 μB/f.u.

Relative energies, unit meV per atom: arrangement a 0; arrangement b 93

Arrangement a

TcIrPt2 | PBE-GGA | relaxed

Unit cell a=4.435 b=4.435 c=4.435 alpha=60.00 beta=60.00 gamma=60.00
Fractional coordinates of all 4 atoms:
Tc  0.000  0.000  0.000
Ir  0.500  0.500  0.500
Pt  0.250  0.250  0.250
Pt  0.750  0.750  0.750

Summary:
symmetry = Fm-3m, No. 225
calculated density = 18.32 g cm⁻³
spin magnetization = 0.74 μB/f.u.

Arrangement b

TcIrPt2 | PBE-GGA | relaxed

Unit cell a=4.819 b=4.819 c=2.756 alpha=90.00 beta=90.00 gamma=110.12
Fractional coordinates of all 4 atoms:
Tc  0.000  0.000  0.000
Ir  0.500  0.500  0.000
Pt  0.000  0.500  0.500
Pt  0.500  0.000  0.500

Summary:
symmetry = Cmmm, No. 65
calculated density = 18.80 g cm⁻³
spin magnetization = 0.00 μB/f.u.

Arrangement c

TcIrPt2 | PBE-GGA | relaxed

Unit cell a=9.258 b=9.258 c=9.258 alpha=17.17 beta=17.17 gamma=17.17
Fractional coordinates of all 4 atoms:
Tc  0.000  0.000  0.000
Ir  0.743  0.743  0.743
Pt  0.251  0.251  0.251
Pt  0.496  0.496  0.496

Summary:
symmetry = R3m, No. 160
calculated density = 18.72 g cm⁻³
spin magnetization = 0.00 μB/f.u.

Relative energies, unit meV per atom: arrangement a 430; arrangement b 140; arrangement c 0

Arrangement a

Tc2Ir2Pt | PBE-GGA | relaxed

Unit cell a=6.655 b=6.655 c=2.746 alpha=90.00 beta=90.00 gamma=141.48
Fractional coordinates of all 5 atoms:
Tc  0.191  0.809  0.000
Tc  0.809  0.191  0.000
Ir  0.373  0.627  0.500
Ir  0.627  0.373  0.500
Pt  0.000  0.000  0.500

Summary:
symmetry = Cmmm, No. 65
calculated density = 17.00 g cm⁻³
spin magnetization = 0.00 μB/f.u.

Arrangement b

Tc2Ir2Pt | PBE-GGA | relaxed

Unit cell a=7.520 b=7.520 c=2.735 alpha=90.00 beta=90.00 gamma=90.00
Fractional coordinates of all 10 atoms:
Tc  0.171  0.329  0.000
Tc  0.329  0.829  0.000
Tc  0.671  0.171  0.000
Tc  0.829  0.671  0.000
Ir  0.124  0.624  0.500
Ir  0.376  0.124  0.500
Ir  0.624  0.876  0.500
Ir  0.876  0.376  0.500
Pt  0.000  0.000  0.500
Pt  0.500  0.500  0.500

Summary:
symmetry = P4/mbm, No. 127
calculated density = 16.65 g cm⁻³
spin magnetization = 0.00 μB/f.u.

Relative energies, unit meV per atom: arrangement a 0; arrangement b 163

Arrangement a

TcIr3Pt | PBE-GGA | relaxed

Unit cell a=5.302 b=5.302 c=5.302 alpha=59.09 beta=59.09 gamma=59.09
Fractional coordinates of all 5 atoms:
Tc  0.000  0.000  0.000
Ir  0.000  0.500  0.500
Ir  0.500  0.000  0.500
Ir  0.500  0.500  0.000
Pt  0.500  0.500  0.500

Summary:
symmetry = R-3m, No. 166
calculated density = 13.99 g cm⁻³
spin magnetization = 2.39 μB/f.u.

Arrangement b

TcIr3Pt | PBE-GGA | relaxed

Unit cell a=4.640 b=4.640 c=4.640 alpha=90.00 beta=90.00 gamma=90.00
Fractional coordinates of all 5 atoms:
Tc  0.000  0.000  0.000
Ir  0.000  0.000  0.500
Ir  0.000  0.500  0.000
Ir  0.500  0.000  0.000
Pt  0.500  0.500  0.500

Summary:
symmetry = Pm-3m, No. 221
calculated density = 14.45 g cm⁻³
spin magnetization = 0.00 μB/f.u.

Relative energies, unit meV per atom: arrangement a 0; arrangement b 873

Arrangement a

Tc2IrPt | PBE-GGA | relaxed

Unit cell a=3.303 b=3.303 c=5.531 alpha=90.00 beta=90.00 gamma=90.00
Fractional coordinates of all 4 atoms:
Tc  0.000  0.000  0.000
Tc  0.500  0.500  0.251
Ir  0.000  0.000  0.494
Pt  0.500  0.500  0.745

Summary:
symmetry = P4mm, No. 99
calculated density = 16.05 g cm⁻³
spin magnetization = 0.00 μB/f.u.

Arrangement b

Tc2IrPt | PBE-GGA | relaxed

Unit cell a=9.110 b=9.110 c=9.110 alpha=17.39 beta=17.39 gamma=17.39
Fractional coordinates of all 4 atoms:
Tc  0.248  0.248  0.248
Tc  0.752  0.752  0.752
Ir  0.500  0.500  0.500
Pt  0.000  0.000  0.000

Summary:
symmetry = R-3m, No. 166
calculated density = 16.43 g cm⁻³
spin magnetization = 0.00 μB/f.u.

Relative energies, unit meV per atom: arrangement a 257; arrangement b 0